A plane-wave DFT calculation with PBE-GGA was carried out for a geometry-optimized PmEu2Pb structure.

Calculated values
Calculated total energy in eV/cell: -30.25
Crystal system: tetragonal

Cell and atoms, written as extended XYZ:
```
4
Lattice="4.979 0.000 0.000 0.000 4.979 0.000 0.000 0.000 5.254" Properties=species:S:1:pos:R:3 pbc="T T T"
Pm 0.000 0.000 0.000
Eu 0.000 2.490 2.627
Eu 2.490 0.000 2.627
Pb 2.490 2.490 0.000
```

***

A plane-wave DFT calculation with PBE-GGA was carried out for a geometry-optimized PmEuPb structure.

Calculated values
Calculated total energy in eV/cell: -19.71
Crystal system: tetragonal

Cell and atoms, written as extended XYZ:
```
3
Lattice="-2.132 2.132 5.237 2.132 -2.132 5.237 2.132 2.132 -5.237" Properties=species:S:1:pos:R:3 pbc="T T T"
Pm 0.000 0.000 0.000
Eu 0.000 0.000 7.245
Pb 0.000 0.000 3.702
```

***

A plane-wave DFT calculation with PBE-GGA was carried out for a geometry-optimized PmEu2Pb structure.

Calculated values
Calculated total energy in eV/cell: -29.76
Crystal system: tetragonal

Cell and atoms, written as extended XYZ:
```
4
Lattice="4.378 0.000 0.000 0.000 4.378 0.000 0.000 0.000 7.078" Properties=species:S:1:pos:R:3 pbc="T T T"
Pm 0.000 0.000 0.000
Eu 2.189 2.189 1.907
Eu 2.189 2.189 5.172
Pb 0.000 0.000 3.539
```

***

A plane-wave DFT calculation with PBE-GGA was carried out for a geometry-optimized PmEu2Pb structure.

Calculated values
Calculated total energy in eV/cell: -29.54
Crystal system: cubic

Cell and atoms, written as extended XYZ:
```
4
Lattice="0.000 4.042 4.042 4.042 0.000 4.042 4.042 4.042 0.000" Properties=species:S:1:pos:R:3 pbc="T T T"
Pm 0.000 0.000 0.000
Eu 2.021 2.021 2.021
Eu 6.063 6.063 6.063
Pb 4.042 4.042 4.042
```

***

A plane-wave DFT calculation with PBE-GGA was carried out for a geometry-optimized PmEuPb structure.

Calculated values
Calculated total energy in eV/cell: -19.59
Crystal system: trigonal

Cell and atoms, written as extended XYZ:
```
3
Lattice="5.454 0.000 0.000 -2.727 4.723 0.000 0.000 0.000 3.819" Properties=species:S:1:pos:R:3 pbc="T T T"
Pm 0.000 0.000 0.000
Eu 0.000 3.149 2.149
Pb 2.727 1.574 0.895
```

***

A plane-wave DFT calculation with PBE-GGA was carried out for a geometry-optimized PmEu2Pb structure.

Calculated values
Calculated total energy in eV/cell: -28.76
Crystal system: trigonal

Cell and atoms, written as extended XYZ:
```
4
Lattice="1.839 1.062 12.823 -1.839 1.062 12.823 0.000 -2.123 12.823" Properties=species:S:1:pos:R:3 pbc="T T T"
Pm 0.000 0.000 0.000
Eu 0.000 0.000 15.902
Eu 0.000 0.000 22.567
Pb 0.000 0.000 19.234
```

***

A plane-wave DFT calculation with PBE-GGA was carried out for a geometry-optimized PmEuRhPb structure.

Calculated values
Calculated total energy in eV/cell: -27.62
Crystal system: cubic

Cell and atoms, written as extended XYZ:
```
4
Lattice="0.000 3.745 3.745 3.745 0.000 3.745 3.745 3.745 0.000" Properties=species:S:1:pos:R:3 pbc="T T T"
Pm 0.000 0.000 0.000
Eu 3.745 3.745 3.745
Rh 5.618 5.618 5.618
Pb 1.873 1.873 1.873
```

***

A plane-wave DFT calculation with PBE-GGA was carried out for a geometry-optimized PmEuSnPb structure.

Calculated values
Calculated total energy in eV/cell: -24.85
Crystal system: cubic

Cell and atoms, written as extended XYZ:
```
4
Lattice="0.000 3.927 3.927 3.927 0.000 3.927 3.927 3.927 0.000" Properties=species:S:1:pos:R:3 pbc="T T T"
Pm 0.000 0.000 0.000
Eu 3.927 3.927 3.927
Sn 5.891 5.891 5.891
Pb 1.964 1.964 1.964
```

***

A plane-wave DFT calculation with PBE-GGA was carried out for a geometry-optimized TbPmEuPb structure.

Calculated values
Calculated total energy in eV/cell: -23.74
Crystal system: cubic

Cell and atoms, written as extended XYZ:
```
4
Lattice="0.000 3.973 3.973 3.973 0.000 3.973 3.973 3.973 0.000" Properties=species:S:1:pos:R:3 pbc="T T T"
Tb 0.000 0.000 0.000
Pm 5.960 5.960 5.960
Eu 3.973 3.973 3.973
Pb 1.987 1.987 1.987
```

***

A plane-wave DFT calculation with PBE-GGA was carried out for a geometry-optimized PmEuTmPb structure.

Calculated values
Calculated total energy in eV/cell: -23.65
Crystal system: cubic

Cell and atoms, written as extended XYZ:
```
4
Lattice="0.000 3.931 3.931 3.931 0.000 3.931 3.931 3.931 0.000" Properties=species:S:1:pos:R:3 pbc="T T T"
Pm 0.000 0.000 0.000
Eu 1.965 1.965 1.965
Tm 3.931 3.931 3.931
Pb 5.896 5.896 5.896
```

***

A plane-wave DFT calculation with PBE-GGA was carried out for a geometry-optimized PrEu2Pb structure.

Calculated values
Calculated total energy in eV/cell: -30.33
Crystal system: tetragonal

Cell and atoms, written as extended XYZ:
```
4
Lattice="5.022 0.000 0.000 0.000 5.022 0.000 0.000 0.000 5.255" Properties=species:S:1:pos:R:3 pbc="T T T"
Pr 0.000 0.000 0.000
Eu 0.000 2.511 2.628
Eu 2.511 0.000 2.628
Pb 2.511 2.511 0.000
```

***

A plane-wave DFT calculation with PBE-GGA was carried out for a geometry-optimized PrEuPb4 structure.

Calculated values
Calculated total energy in eV/cell: -31.56
Crystal system: cubic

Cell and atoms, written as extended XYZ:
```
6
Lattice="0.000 4.611 4.611 4.611 0.000 4.611 4.611 4.611 0.000" Properties=species:S:1:pos:R:3 pbc="T T T"
Pr 0.000 0.000 0.000
Eu 2.305 2.305 2.305
Pb 5.766 3.455 3.455
Pb 3.455 5.766 3.455
Pb 3.455 3.455 5.766
Pb 5.766 5.766 5.766
```

***

- Which of these has the lowest calculated total energy?
  PrEuPb4